Entry 1:
## Al2PtBr (SCAN)

Data for a crystal of Al2PtBr relaxed with PBEsol.

Unit cell a=3.674 b=3.674 c=6.293 alpha=106.97 beta=106.97 gamma=90.00
Positions (direct):
Pt 0.250 0.750 0.500
Br 0.500 0.500 0.000
Al 0.000 0.000 0.000
Al 0.750 0.250 0.500

Properties
The space group is I-4m2, No. 119. The total magnetization is 0.0 μB/cell. The calculated volume is 19.3 Å³/atom. The calculation puts the uncorrected formation energy at 0.071 eV/atom.

***

Entry 2:
## Ho4Si2S3O7 (SCAN)

Data for a crystal of Ho4Si2S3O7 relaxed with PBEsol.

Unit cell a=10.578 b=10.578 c=10.578 alpha=78.92 beta=66.18 gamma=113.82
Positions (direct):
Ho 0.846 0.923 0.577
Ho 0.000 0.673 0.673
Ho 0.000 0.327 0.327
Ho 0.154 0.577 0.923
Ho 0.654 0.327 0.673
Ho 0.500 0.577 0.577
Ho 0.500 0.923 0.923
Ho 0.346 0.673 0.327
Ho 0.265 0.284 0.451
Ho 0.735 0.284 0.980
Ho 0.735 0.451 0.284
Ho 0.235 0.270 0.966
Ho 0.765 0.799 0.966
Ho 0.765 0.966 0.270
Ho 0.235 0.966 0.799
Ho 0.265 0.980 0.284
Si 0.375 0.530 0.095
Si 0.625 0.530 0.845
Si 0.625 0.095 0.530
Si 0.125 0.405 0.720
Si 0.875 0.155 0.720
Si 0.875 0.720 0.405
Si 0.125 0.720 0.155
Si 0.375 0.845 0.530
S 0.105 0.125 0.270
S 0.105 0.980 0.625
S 0.895 0.270 0.125
S 0.895 0.625 0.980
S 0.395 0.125 0.980
S 0.395 0.270 0.625
S 0.605 0.980 0.125
S 0.605 0.625 0.270
S 0.000 0.000 0.000
S 0.500 0.250 0.250
S 0.500 0.750 0.750
S 0.000 0.500 0.500
O 0.265 0.451 0.283
O 0.735 0.451 0.814
O 0.735 0.283 0.451
O 0.235 0.436 0.799
O 0.765 0.967 0.799
O 0.765 0.799 0.436
O 0.235 0.799 0.967
O 0.265 0.814 0.451
O 0.500 0.474 0.026
O 0.000 0.224 0.776
O 0.000 0.776 0.224
O 0.500 0.026 0.474
O 0.016 0.541 0.192
O 0.984 0.791 0.476
O 0.984 0.192 0.541
O 0.233 0.774 0.709
O 0.767 0.058 0.459
O 0.767 0.709 0.774
O 0.233 0.459 0.058
O 0.016 0.476 0.791
O 0.484 0.709 0.058
O 0.516 0.459 0.774
O 0.516 0.058 0.709
O 0.267 0.476 0.541
O 0.733 0.192 0.791
O 0.733 0.541 0.476
O 0.267 0.791 0.192
O 0.484 0.774 0.459

Properties
The space group is I4_1/amd, No. 141. The total magnetization is 0.0 μB/cell. The calculated volume is 14.0 Å³/atom. The calculation puts the uncorrected formation energy at -3.180 eV/atom.

***

Entry 3:
## TlZnMo2 (SCAN)

Data for a crystal of TlZnMo2 relaxed with PBEsol.

Unit cell a=3.283 b=3.283 c=6.249 alpha=90.00 beta=90.00 gamma=90.00
Positions (direct):
Mo 0.000 0.000 0.009
Mo 0.500 0.500 0.205
Tl 0.000 0.000 0.510
Zn 0.500 0.500 0.776

Properties
The space group is P4mm, No. 99. The total magnetization is 0.0 μB/cell. The calculated volume is 16.8 Å³/atom. Its energy above the most stable polymorph in this dataset is 0 meV per atom.

***

Entry 4:
## KTaCl2 (SCAN)

Data for a crystal of KTaCl2 relaxed with PBEsol.

Unit cell a=3.427 b=3.427 c=7.461 alpha=90.00 beta=90.00 gamma=90.00
Positions (direct):
K 0.000 0.000 0.463
Cl 0.000 0.000 0.964
Cl 0.500 0.500 0.207
Ta 0.500 0.500 0.866

Properties
The space group is P4mm, No. 99. The total magnetization is 0.0 μB/cell. The calculated volume is 21.9 Å³/atom. Its energy above the most stable polymorph in this dataset is 91 meV per atom. The calculation puts the uncorrected formation energy at -0.350 eV/atom.